No. 1
First-principles (GGA-PBE) data for a geometry-optimized FeCuPt5 structure, as listed in Alexandria.

Output
Its space-group type is I-4m2. The value obtained for the formation energy from the elements is 4.81 eV per formula unit.

Unit cell a=4.695 b=7.947 c=6.090 alpha=130.73 beta=112.68 gamma=90.00
Each line ends with the local moment (μB).
Fractional positions:
Pt (0.841, 0.221, 0.000)  -0.01
Pt (0.841, 0.779, 0.000)  -0.01
Pt (0.112, 0.500, 0.000)  0.01
Pt (0.661, 0.779, 0.557)  -0.01
Pt (0.103, 0.221, 0.443)  -0.01
Cu (0.361, 0.000, 0.000)  -0.02
Fe (0.612, 0.500, 0.000)  2.38

No. 2
First-principles (GGA-PBE) data for a geometry-optimized ZrSiN structure, as listed in Alexandria.

Output
Its space-group type is P4/nmm. The calculation puts the uncorrected formation energy at -0.847 eV per atom.

Unit cell a=3.771 b=3.771 c=6.880 alpha=90.00 beta=90.00 gamma=90.00
Fractional positions:
Si (0.000, 0.000, 0.500)
Si (0.500, 0.500, 0.500)
Zr (0.500, 0.000, 0.144)
Zr (0.000, 0.500, 0.856)
N (0.000, 0.000, 0.000)
N (0.500, 0.500, 0.000)

No. 3
First-principles (GGA-PBE) data for a geometry-optimized Ba2NiAu structure, as listed in Alexandria.

Output
Its space-group type is Amm2. The value obtained for the formation energy from the elements is -1.20 eV per formula unit.

Unit cell a=6.508 b=6.508 c=4.628 alpha=90.00 beta=90.00 gamma=41.45
Fractional positions:
Ba (0.262, 0.262, 0.375)
Ba (0.984, 0.984, 0.875)
Au (0.684, 0.684, 0.875)
Ni (0.570, 0.570, 0.375)

No. 4
First-principles (GGA-PBE) data for a geometry-optimized Li5CuCl8 structure, as listed in Alexandria.

Output
Its space-group type is F-43m. The calculation puts the uncorrected formation energy at -1.306 eV per atom.

Unit cell a=7.375 b=7.375 c=7.375 alpha=60.00 beta=60.00 gamma=60.00
Each line ends with the local moment (μB).
Fractional positions:
Cl (0.390, 0.870, 0.870)  0.04
Cl (0.875, 0.375, 0.375)  0.18
Cl (0.375, 0.875, 0.375)  0.18
Cl (0.870, 0.870, 0.870)  0.04
Cl (0.375, 0.375, 0.375)  0.18
Cl (0.870, 0.870, 0.390)  0.04
Cl (0.870, 0.390, 0.870)  0.04
Cl (0.375, 0.375, 0.875)  0.18
Cu (0.250, 0.250, 0.250)  0.57
Li (0.637, 0.637, 0.089)  0.00
Li (0.637, 0.089, 0.637)  0.00
Li (0.089, 0.637, 0.637)  0.00
Li (0.637, 0.637, 0.637)  0.00
Li (0.000, 0.000, 0.000)  0.00